Ta5Mo3 | SCAN | PBEsol geometry

## Properties
Magnetization (μB/cell): 0.003
Relative energy among the computed polymorphs (meV per atom): 65
Uncorrected energy (eV per atom): -54.783

a = 4.5764 Å, b = 4.5764 Å, c = 21.9930 Å
α = 90.00°, β = 90.00°, γ = 120.00°
Space group R-3m (No. 166, hexagonal axes)
Asymmetric unit:
Ta  0.0000  0.0000  0.0000 (multiplicity 3)
Ta  0.0000  0.0000  0.2468 (multiplicity 6)
Ta  0.0000  0.0000  0.3757 (multiplicity 6)
Mo  0.0000  0.0000  0.1256 (multiplicity 6)
Mo  0.0000  0.0000  0.5000 (multiplicity 3)

TmSnIr | SCAN | PBEsol geometry

## Properties
Magnetization (μB/cell): 0.000
Uncorrected energy (eV per atom): -53.960

a = 7.4434 Å, b = 7.4434 Å, c = 3.7405 Å
α = 90.00°, β = 90.00°, γ = 120.00°
Space group P-62m (No. 189)
Asymmetric unit:
Tm  0.0000  0.5967  0.0000 (multiplicity 3)
Sn  0.0000  0.2648  0.5000 (multiplicity 3)
Ir  0.0000  0.0000  0.0000 (multiplicity 1)
Ir  0.3333  0.6667  0.5000 (multiplicity 2)

LiFePH2O5 | SCAN | PBEsol geometry

## Properties
Magnetization (μB/cell): 8.000
Uncorrected energy (eV per atom): -8.777

a = 5.513 Å, b = 4.747 Å, c = 8.186 Å
α = 90.00°, β = 99.96°, γ = 90.00°
Space group P2_1 (No. 4)
Asymmetric unit:
Li  0.042  0.000  0.387 (multiplicity 2)
Fe  0.265  0.423  0.017 (multiplicity 2)
P  0.181  0.008  0.780 (multiplicity 2)
H  0.260  0.922  0.176 (multiplicity 2)
H  0.495  0.097  0.252 (multiplicity 2)
O  0.011  0.624  0.114 (multiplicity 2)
O  0.114  0.124  0.606 (multiplicity 2)
O  0.202  0.683  0.786 (multiplicity 2)
O  0.311  0.104  0.230 (multiplicity 2)
O  0.429  0.134  0.877 (multiplicity 2)

Sr2Pr2TlNi2O9 | SCAN | PBEsol geometry

## Properties
Magnetization (μB/cell): 8.688
E_form (uncorrected) (eV/atom): -2.4262
Uncorrected energy (eV per atom): -20.675

a = 5.285 Å, b = 29.693 Å, c = 5.301 Å
α = 90.00°, β = 90.00°, γ = 90.00°
Space group Fmm2 (No. 42)
Asymmetric unit:
Sr  0.000  0.084  0.000 (multiplicity 8)
Pr  0.000  0.202  0.000 (multiplicity 8)
Tl  0.000  0.000  0.516 (multiplicity 4)
Ni  0.000  0.143  0.499 (multiplicity 8)
O  0.000  0.000  0.972 (multiplicity 4)
O  0.000  0.078  0.497 (multiplicity 8)
O  0.000  0.217  0.500 (multiplicity 8)
O  0.250  0.149  0.250 (multiplicity 16)

SrZr2Ru | SCAN | PBEsol geometry

## Properties
Magnetization (μB/cell): 0.000
Relative energy among the computed polymorphs (meV per atom): 589
Uncorrected energy (eV per atom): -29.039

a = 4.081 Å, b = 4.081 Å, c = 10.112 Å
α = 90.00°, β = 90.00°, γ = 90.00°
Space group I-4m2 (No. 119)
Asymmetric unit:
Sr  0.000  0.000  0.000 (multiplicity 2)
Zr  0.000  0.000  0.500 (multiplicity 2)
Zr  0.000  0.500  0.250 (multiplicity 2)
Ru  0.000  0.500  0.750 (multiplicity 2)

CdCu | SCAN | PBEsol geometry

## Properties
Magnetization (μB/cell): 0.000
Uncorrected energy (eV per atom): -22.707

a = 3.891 Å, b = 3.891 Å, c = 8.167 Å
α = 90.00°, β = 90.00°, γ = 90.00°
Space group I4_1/amd (No. 141, origin choice 2)
Asymmetric unit:
Cd  0.000  0.250  0.375 (multiplicity 4)
Cu  0.000  0.250  0.875 (multiplicity 4)

SrZr2Rh | SCAN | PBEsol geometry

## Properties
Magnetization (μB/cell): 0.000
Relative energy among the computed polymorphs (meV per atom): 0
Uncorrected energy (eV per atom): -29.573

a = 3.326 Å, b = 3.326 Å, c = 8.466 Å
α = 90.00°, β = 90.00°, γ = 90.00°
Space group P4mm (No. 99)
Asymmetric unit:
Sr  0.000  0.000  0.000 (multiplicity 1)
Zr  0.000  0.000  0.414 (multiplicity 1)
Zr  0.500  0.500  0.651 (multiplicity 1)
Rh  0.500  0.500  0.256 (multiplicity 1)

PW2O8 | SCAN | PBEsol geometry

## Properties
Magnetization (μB/cell): 0.001
E_form (uncorrected) (eV/atom): -2.3077
Uncorrected energy (eV per atom): -20.455

a = 5.336 Å, b = 6.631 Å, c = 17.510 Å
α = 90.00°, β = 90.00°, γ = 90.00°
Space group P2_12_12_1 (No. 19)
Asymmetric unit:
P  0.248  0.054  0.187 (multiplicity 4)
W  0.249  0.413  0.044 (multiplicity 4)
W  0.249  0.751  0.872 (multiplicity 4)
O  0.000  0.083  0.407 (multiplicity 4)
O  0.003  0.752  0.500 (multiplicity 4)
O  0.004  0.921  0.908 (multiplicity 4)
O  0.008  0.933  0.173 (multiplicity 4)
O  0.017  0.071  0.671 (multiplicity 4)
O  0.248  0.886  0.772 (multiplicity 4)
O  0.249  0.244  0.138 (multiplicity 4)
O  0.249  0.590  0.959 (multiplicity 4)

MoRu5 | SCAN | PBEsol geometry

## Properties
Magnetization (μB/cell): 0.000
Relative energy among the computed polymorphs (meV per atom): 8
Uncorrected energy (eV per atom): -34.841

a = 4.283 Å, b = 2.711 Å, c = 14.087 Å
α = 90.00°, β = 90.00°, γ = 90.00°
Space group Amm2 (No. 38)
Asymmetric unit:
Mo  0.000  0.000  0.000 (multiplicity 2)
Ru  0.000  0.000  0.330 (multiplicity 2)
Ru  0.000  0.000  0.667 (multiplicity 2)
Ru  0.500  0.000  0.111 (multiplicity 2)
Ru  0.500  0.000  0.443 (multiplicity 2)
Ru  0.500  0.000  0.778 (multiplicity 2)

Li2HfCrP | SCAN | PBEsol geometry

## Properties
Magnetization (μB/cell): 2.134
Uncorrected energy (eV per atom): -17.736

a = 4.866 Å, b = 4.866 Å, c = 4.379 Å
α = 90.00°, β = 90.00°, γ = 90.00°
Space group P4/mmm (No. 123)
Asymmetric unit:
Li  0.000  0.500  0.000 (multiplicity 2)
Hf  0.000  0.000  0.000 (multiplicity 1)
Cr  0.000  0.000  0.500 (multiplicity 1)
P  0.500  0.500  0.500 (multiplicity 1)

AgBi2Pd2 | SCAN | PBEsol geometry

## Properties
Magnetization (μB/cell): 0.000
Uncorrected energy (eV per atom): -50.933

a = 7.343 Å, b = 7.343 Å, c = 3.798 Å
α = 90.00°, β = 90.00°, γ = 90.00°
Space group P4/mbm (No. 127)
Asymmetric unit:
Ag  0.000  0.000  0.000 (multiplicity 2)
Bi  0.167  0.333  0.500 (multiplicity 4)
Pd  0.135  0.635  0.000 (multiplicity 4)

LaYAl4 | SCAN | PBEsol geometry

## Properties
Magnetization (μB/cell): 0.002
Uncorrected energy (eV per atom): -17.517

a = 7.943 Å, b = 7.943 Å, c = 7.943 Å
α = 90.00°, β = 90.00°, γ = 90.00°
Space group F-43m (No. 216)
Asymmetric unit:
La  0.000  0.000  0.000 (multiplicity 4)
Y  0.250  0.250  0.250 (multiplicity 4)
Al  0.125  0.125  0.625 (multiplicity 16)

BaMoPb | SCAN | PBEsol geometry

## Properties
Magnetization (μB/cell): 0.000
Uncorrected energy (eV per atom): -49.224

a = 3.6395 Å, b = 3.6395 Å, c = 7.1940 Å
α = 90.00°, β = 90.00°, γ = 120.00°
Space group P3m1 (No. 156)
Asymmetric unit:
Ba  0.0000  0.0000  0.0000 (multiplicity 1)
Mo  0.3333  0.6667  0.6651 (multiplicity 1)
Pb  0.6667  0.3333  0.4125 (multiplicity 1)

CrCd2Cl | SCAN | PBEsol geometry

## Properties
Magnetization (μB/cell): 12.782
E_form (uncorrected) (eV/atom): -0.2218
Relative energy among the computed polymorphs (meV per atom): 0
Uncorrected energy (eV per atom): -22.020

a = 3.2665 Å, b = 3.2665 Å, c = 26.1478 Å
α = 90.00°, β = 90.00°, γ = 120.00°
Space group R3m (No. 160, hexagonal axes)
Asymmetric unit:
Cr  0.0000  0.0000  0.0000 (multiplicity 3)
Cd  0.0000  0.0000  0.5026 (multiplicity 3)
Cd  0.0000  0.0000  0.7472 (multiplicity 3)
Cl  0.0000  0.0000  0.2728 (multiplicity 3)

LiTa2W | SCAN | PBEsol geometry

## Properties
Magnetization (μB/cell): 0.000
Uncorrected energy (eV per atom): -50.901

a = 9.450 Å, b = 2.652 Å, c = 5.258 Å
α = 90.00°, β = 94.97°, γ = 90.00°
Space group Cm (No. 8)
Asymmetric unit:
Li  0.000  0.000  0.000 (multiplicity 2)
Ta  0.249  0.000  0.758 (multiplicity 2)
Ta  0.498  0.000  0.492 (multiplicity 2)
W  0.246  0.500  0.250 (multiplicity 2)

TaBePS2 | SCAN | PBEsol geometry

## Properties
Magnetization (μB/cell): 0.001
E_form (uncorrected) (eV/atom): 0.6137
Uncorrected energy (eV per atom): -19.505

a = 4.157 Å, b = 4.157 Å, c = 4.220 Å
α = 90.00°, β = 90.00°, γ = 90.00°
Space group P4/mmm (No. 123)
Asymmetric unit:
Ta  0.000  0.000  0.000 (multiplicity 1)
Be  0.500  0.500  0.500 (multiplicity 1)
P  0.500  0.500  0.000 (multiplicity 1)
S  0.000  0.500  0.500 (multiplicity 2)

SiMoBr2 | SCAN | PBEsol geometry

## Properties
Magnetization (μB/cell): 0.001
E_form (uncorrected) (eV/atom): 0.0558
Uncorrected energy (eV per atom): -20.899

a = 14.958 Å, b = 3.168 Å, c = 3.884 Å
α = 90.00°, β = 102.72°, γ = 90.00°
Space group C2/m (No. 12)
Asymmetric unit:
Si  0.000  0.000  0.000 (multiplicity 2)
Mo  0.000  0.500  0.500 (multiplicity 2)
Br  0.150  0.000  0.667 (multiplicity 4)

K2TlAg | SCAN | PBEsol geometry

## Properties
Magnetization (μB/cell): 0.004
Relative energy among the computed polymorphs (meV per atom): 52
Uncorrected energy (eV per atom): -30.102

a = 3.876 Å, b = 3.876 Å, c = 9.696 Å
α = 90.00°, β = 90.00°, γ = 90.00°
Space group P4mm (No. 99)
Asymmetric unit:
K  0.000  0.000  0.000 (multiplicity 1)
K  0.500  0.500  0.402 (multiplicity 1)
Tl  0.000  0.000  0.645 (multiplicity 1)
Ag  0.500  0.500  0.758 (multiplicity 1)

CoAg3Ru | SCAN | PBEsol geometry

## Properties
Magnetization (μB/cell): 4.405
Uncorrected energy (eV per atom): -27.793

a = 4.556 Å, b = 4.556 Å, c = 4.556 Å
α = 90.00°, β = 90.00°, γ = 90.00°
Space group Pm-3m (No. 221)
Asymmetric unit:
Co  0.000  0.000  0.000 (multiplicity 1)
Ag  0.000  0.000  0.500 (multiplicity 3)
Ru  0.500  0.500  0.500 (multiplicity 1)

CsZnB2Ru | SCAN | PBEsol geometry

## Properties
Magnetization (μB/cell): 0.000
Uncorrected energy (eV per atom): -18.994

a = 4.193 Å, b = 4.193 Å, c = 5.656 Å
α = 90.00°, β = 90.00°, γ = 90.00°
Space group P4/mmm (No. 123)
Asymmetric unit:
Cs  0.000  0.000  0.000 (multiplicity 1)
Zn  0.500  0.500  0.000 (multiplicity 1)
B  0.000  0.500  0.500 (multiplicity 2)
Ru  0.000  0.000  0.500 (multiplicity 1)